Record 1
A plane-wave DFT calculation with PBE was carried out for crystalline MnBe at its relaxed geometry.

Cell lengths 6.2070, 6.2070, 6.2070 Å; angles 90.00, 90.00, 90.00 degrees
With the nearest neighbours (Å) after each atom.
Element x y z (fractional)
Be 0.0000 0.2500 0.5000  4 Mn 2.19
Be 0.0000 0.7500 0.5000  4 Mn 2.19
Be 0.5000 0.0000 0.2500  4 Mn 2.19
Mn 0.5000 0.7500 0.0000  4 Be 2.19
Be 0.5000 0.0000 0.7500  4 Mn 2.19
Mn 0.5000 0.2500 0.0000  4 Be 2.19
Mn 0.2500 0.0000 0.5000  4 Be 2.19
Mn 0.0000 0.5000 0.7500  4 Be 2.19
Mn 0.0000 0.5000 0.2500  4 Be 2.19
Mn 0.7500 0.0000 0.5000  4 Be 2.19
Be 0.2500 0.5000 0.0000  4 Mn 2.19
Be 0.7500 0.5000 0.0000  4 Mn 2.19

Properties
Formation energy from the elements = 1554 meV per atom
DOS(E_F) = 2.2 states/eV/f.u.
Density = 2.7 Mg/m³

=====

Record 2
A plane-wave DFT calculation with PBE was carried out for crystalline MnBe7 at its relaxed geometry.

Cell lengths 4.5748, 4.5748, 4.5748 Å; angles 60.00, 60.00, 60.00 degrees
With the nearest neighbours (Å) after each atom.
Element x y z (fractional)
Be 0.5000 0.5000 0.5000  12 Be 2.29
Be 0.0000 0.5000 0.5000  10 Be 2.29, 2 Mn 2.29
Be 0.5000 0.0000 0.0000  10 Be 2.29, 2 Mn 2.29
Be 0.5000 0.0000 0.5000  10 Be 2.29, 2 Mn 2.29
Be 0.0000 0.5000 0.0000  2 Mn 2.29, 10 Be 2.29
Be 0.5000 0.5000 0.0000  10 Be 2.29, 2 Mn 2.29
Be 0.0000 0.0000 0.5000  10 Be 2.29, 2 Mn 2.29
Mn 0.0000 0.0000 0.0000  12 Be 2.29

Properties
Formation energy from the elements = -17 meV per atom
DOS(E_F) = 3.0 states/eV/f.u.
Density = 2.9 Mg/m³

=====

Record 3
A plane-wave DFT calculation with PBE was carried out for crystalline MnBe2 at its relaxed geometry.

Cell lengths 2.3883, 2.3883, 5.7068 Å; angles 90.00, 90.00, 120.00 degrees
With the nearest neighbours (Å) after each atom.
Element x y z (fractional)
Be 0.3333 0.6667 0.3343  9 Be 2.34-2.39, 3 Mn 2.35
Mn 0.0000 0.0000 0.0000  6 Be 2.35, 6 Mn 2.39
Be 0.6667 0.3333 0.6657  9 Be 2.34-2.39, 3 Mn 2.35

Properties
Formation energy from the elements = 119 meV per atom
DOS(E_F) = 2.3 states/eV/f.u.
Density = 4.3 Mg/m³

=====

Record 4
A plane-wave DFT calculation with PBE was carried out for crystalline Mn3Be at its relaxed geometry.

Cell lengths 4.4813, 4.4813, 4.4813 Å; angles 144.13, 129.54, 63.45 degrees
With the nearest neighbours (Å) after each atom.
Element x y z (fractional)
Be 0.0000 0.0000 0.0000  8 Mn 2.36
Mn 0.2513 0.7513 0.5000  6 Mn 2.35-2.36, 2 Be 2.36
Mn 0.5000 0.5000 0.0000  4 Mn 2.35, 4 Be 2.36
Mn 0.7487 0.2487 0.5000  6 Mn 2.35-2.36, 2 Be 2.36

Properties
Formation energy from the elements = -56 meV per atom
DOS(E_F) = 3.5 states/eV/f.u.
Density = 7.2 Mg/m³

=====

Record 5
A plane-wave DFT calculation with PBE was carried out for crystalline Mn4Be at its relaxed geometry.

Cell lengths 4.1372, 4.1372, 4.1372 Å; angles 90.00, 90.00, 90.00 degrees
With the nearest neighbours (Å) after each atom.
Element x y z (fractional)
Mn 0.5000 0.0000 0.5000  2 Be 2.07
Be 0.5000 0.5000 0.5000  6 Mn 2.07
Mn 0.0000 0.0000 0.0000  12 Mn 2.93
Mn 0.0000 0.5000 0.5000  2 Be 2.07
Mn 0.5000 0.5000 0.0000  2 Be 2.07

Properties
Formation energy from the elements = 789 meV per atom
DOS(E_F) = 5.7 states/eV/f.u.
Density = 5.4 Mg/m³

=====

Record 6
A plane-wave DFT calculation with PBE was carried out for crystalline MnBe at its relaxed geometry.

Cell lengths 3.8085, 3.8085, 6.5469 Å; angles 90.00, 90.00, 120.00 degrees
With the nearest neighbours (Å) after each atom.
Element x y z (fractional)
Be 0.3333 0.6667 0.0828  1 Mn 2.18, 1 Be 2.19
Mn 0.6667 0.3333 0.2500  2 Be 2.18, 3 Mn 2.20
Mn 0.0000 0.0000 0.7500  3 Mn 2.20, 6 Be 2.46
Be 0.3333 0.6667 0.4172  1 Mn 2.18, 1 Be 2.19
Be 0.6667 0.3333 0.9172  1 Mn 2.18, 1 Be 2.19
Mn 0.0000 0.0000 0.2500  3 Mn 2.20, 6 Be 2.46
Be 0.6667 0.3333 0.5828  1 Mn 2.18, 1 Be 2.19
Mn 0.3333 0.6667 0.7500  2 Be 2.18, 3 Mn 2.20

Properties
Formation energy from the elements = 277 meV per atom
DOS(E_F) = 2.0 states/eV/f.u.
Density = 5.2 Mg/m³

=====

Record 7
A plane-wave DFT calculation with PBE was carried out for crystalline MnBe at its relaxed geometry.

Cell lengths 3.6592, 3.6592, 4.2078 Å; angles 90.00, 90.00, 120.00 degrees
With the nearest neighbours (Å) after each atom.
Element x y z (fractional)
Be 0.3333 0.6667 0.2500  5 Mn 2.10-2.11
Be 0.6667 0.3333 0.7500  5 Mn 2.10-2.11
Mn 0.3333 0.6667 0.7500  5 Be 2.10-2.11
Mn 0.6667 0.3333 0.2500  5 Be 2.10-2.11

Properties
Formation energy from the elements = 1043 meV per atom
DOS(E_F) = 1.1 states/eV/f.u.
Density = 4.4 Mg/m³

=====

Record 8
A plane-wave DFT calculation with PBE was carried out for crystalline MnBe at its relaxed geometry.

Cell lengths 6.1901, 6.1901, 3.6374 Å; angles 90.00, 90.00, 120.00 degrees
With the nearest neighbours (Å) after each atom.
Element x y z (fractional)
Be 0.1820 0.9588 0.7500  6 Be 2.21-2.22, 5 Mn 2.33-2.37
Mn 0.3887 0.9097 0.2500  4 Mn 2.22-2.37, 5 Be 2.33-2.37
Be 0.7768 0.8180 0.7500  6 Be 2.21-2.22, 5 Mn 2.33-2.37
Be 0.8180 0.0412 0.2500  6 Be 2.21-2.22, 5 Mn 2.33-2.37
Mn 0.5210 0.6113 0.2500  4 Mn 2.22-2.37, 5 Be 2.33-2.37
Mn 0.9097 0.5210 0.7500  4 Mn 2.22-2.37, 5 Be 2.33-2.37
Mn 0.4790 0.3887 0.7500  4 Mn 2.22-2.37, 5 Be 2.33-2.37
Be 0.0412 0.2232 0.7500  6 Be 2.21-2.22, 5 Mn 2.33-2.37
Mn 0.6113 0.0903 0.7500  4 Mn 2.22-2.37, 5 Be 2.33-2.37
Be 0.9588 0.7768 0.2500  6 Be 2.21-2.22, 5 Mn 2.33-2.37
Mn 0.0903 0.4790 0.2500  4 Mn 2.22-2.37, 5 Be 2.33-2.37
Be 0.2232 0.1820 0.2500  6 Be 2.21-2.22, 5 Mn 2.33-2.37

Properties
Formation energy from the elements = 230 meV per atom
DOS(E_F) = 2.0 states/eV/f.u.
Density = 5.3 Mg/m³

=====

Record 9
A plane-wave DFT calculation with PBE was carried out for crystalline MnBe at its relaxed geometry.

Cell lengths 2.3655, 3.7465, 4.5981 Å; angles 90.00, 113.32, 90.00 degrees
With the nearest neighbours (Å) after each atom.
Element x y z (fractional)
Mn 0.2218 0.7500 0.6358  4 Mn 2.27-2.37, 7 Be 2.27-2.49
Be 0.1452 0.7500 0.1272  4 Be 2.17-2.37, 4 Mn 2.27-2.38
Mn 0.7782 0.2500 0.3642  4 Mn 2.27-2.37, 7 Be 2.27-2.49
Be 0.8548 0.2500 0.8728  4 Be 2.17-2.37, 4 Mn 2.27-2.38

Properties
Formation energy from the elements = -78 meV per atom
DOS(E_F) = 1.3 states/eV/f.u.
Density = 5.7 Mg/m³

=====

Record 10
A plane-wave DFT calculation with PBE was carried out for crystalline MnBe at its relaxed geometry.

Cell lengths 2.6788, 2.6788, 5.2455 Å; angles 90.00, 90.00, 90.00 degrees
With the nearest neighbours (Å) after each atom.
Element x y z (fractional)
Be 0.5000 0.5000 0.2347  4 Be 2.22, 4 Mn 2.37
Be 0.0000 0.0000 0.0153  4 Be 2.22, 4 Mn 2.37
Mn 0.5000 0.5000 0.7438  4 Mn 2.27, 4 Be 2.37
Mn 0.0000 0.0000 0.5062  4 Mn 2.27, 4 Be 2.37

Properties
Formation energy from the elements = -110 meV per atom
DOS(E_F) = 0.8 states/eV/f.u.
Density = 5.6 Mg/m³

=====

Record 11
A plane-wave DFT calculation with PBE was carried out for crystalline MnBe2 at its relaxed geometry.

Cell lengths 6.3209, 6.3209, 3.7738 Å; angles 90.00, 90.00, 158.45 degrees
With the nearest neighbours (Å) after each atom.
Element x y z (fractional)
Be 0.0576 0.9424 0.2500  10 Be 2.30-2.37, 2 Mn 2.33
Be 0.3951 0.6049 0.2500  8 Be 2.30-2.36, 4 Mn 2.36-2.48
Be 0.6049 0.3951 0.7500  8 Be 2.30-2.36, 4 Mn 2.36-2.48
Mn 0.7192 0.2808 0.2500  6 Be 2.33-2.48, 6 Mn 2.35-2.36
Be 0.9424 0.0576 0.7500  10 Be 2.30-2.37, 2 Mn 2.33
Mn 0.2808 0.7192 0.7500  6 Be 2.33-2.48, 6 Mn 2.35-2.36

Properties
Formation energy from the elements = 73 meV per atom
DOS(E_F) = 2.0 states/eV/f.u.
Density = 4.4 Mg/m³

=====

Record 12
A plane-wave DFT calculation with PBE was carried out for crystalline MnBe at its relaxed geometry.

Cell lengths 6.4608, 6.4608, 3.7955 Å; angles 90.00, 90.00, 90.00 degrees
With the nearest neighbours (Å) after each atom.
Element x y z (fractional)
Be 0.9173 0.7684 0.5000  6 Be 2.18-2.34, 5 Mn 2.19-2.42
Be 0.2316 0.9173 0.5000  6 Be 2.18-2.34, 5 Mn 2.19-2.42
Be 0.2316 0.0827 0.0000  6 Be 2.18-2.34, 5 Mn 2.19-2.42
Be 0.7684 0.0827 0.5000  6 Be 2.18-2.34, 5 Mn 2.19-2.42
Mn 0.5782 0.2167 0.0000  2 Mn 2.15, 3 Be 2.19-2.40
Mn 0.2167 0.4218 0.0000  2 Mn 2.15, 3 Be 2.19-2.40
Mn 0.7833 0.5782 0.0000  2 Mn 2.15, 3 Be 2.19-2.40
Mn 0.5782 0.7833 0.5000  2 Mn 2.15, 3 Be 2.19-2.40
Mn 0.4218 0.7833 0.0000  2 Mn 2.15, 3 Be 2.19-2.40
Be 0.7684 0.9173 0.0000  6 Be 2.18-2.34, 5 Mn 2.19-2.42
Mn 0.2167 0.5782 0.5000  2 Mn 2.15, 3 Be 2.19-2.40
Be 0.9173 0.2316 0.0000  6 Be 2.18-2.34, 5 Mn 2.19-2.42
Be 0.0827 0.7684 0.0000  6 Be 2.18-2.34, 5 Mn 2.19-2.42
Mn 0.4218 0.2167 0.5000  2 Mn 2.15, 3 Be 2.19-2.40
Be 0.0827 0.2316 0.5000  6 Be 2.18-2.34, 5 Mn 2.19-2.42
Mn 0.7833 0.4218 0.5000  2 Mn 2.15, 3 Be 2.19-2.40

Properties
Formation energy from the elements = 166 meV per atom
DOS(E_F) = 1.3 states/eV/f.u.
Density = 5.4 Mg/m³